DFT (PBE) results for an optimized crystal structure of ZnRePd3.

a b c (Å): 4.8198 4.8198 4.8198
angles (deg): 90.00 90.00 90.00
Closest atoms and distances in Å follow each position.
Fractional coordinates of all 5 atoms:
Zn (0.0000, 0.0000, 0.0000)  12 Pd 3.41
Re (0.5000, 0.5000, 0.5000)  6 Pd 2.41
Pd (0.0000, 0.5000, 0.5000)  2 Re 2.41
Pd (0.5000, 0.0000, 0.5000)  2 Re 2.41
Pd (0.5000, 0.5000, 0.0000)  2 Re 2.41

Results
Energy above the most stable polymorph in this dataset = 2.23 kcal/mol of atoms
Size of the total moment = 0.00 μB/atom
ΔH_f (0 K) = 1.224 eV per atom

***

DFT (PBE) results for an optimized crystal structure of NaUMnSe4.

a b c (Å): 7.9352 7.9352 7.9352
angles (deg): 118.30 112.26 98.46
Closest atoms and distances in Å follow each position.
Fractional coordinates of all 14 atoms:
Na (0.4252, 0.1752, 0.2500)  4 Se 2.79-2.86
Na (0.5748, 0.8248, 0.7500)  4 Se 2.79-2.86
U (0.0000, 0.5000, 0.5000)  6 Se 2.74-2.84
U (0.5000, 0.5000, 0.0000)  6 Se 2.74-2.84
Mn (0.0000, 0.0000, 0.5000)  6 Se 2.66-2.72
Mn (0.0000, 0.5000, 0.0000)  6 Se 2.66-2.72
Se (0.1832, 0.2398, 0.9434)  2 Mn 2.66, 1 U 2.74, 1 Na 2.79
Se (0.2036, 0.7602, 0.4434)  2 Mn 2.66, 1 U 2.74, 1 Na 2.79
Se (0.2610, 0.2933, 0.5323)  1 Mn 2.72, 2 U 2.84, 1 Na 2.86
Se (0.2610, 0.7287, 0.9677)  1 Mn 2.72, 2 U 2.84, 1 Na 2.86
Se (0.7390, 0.2713, 0.0323)  1 Mn 2.72, 2 U 2.84, 1 Na 2.86
Se (0.7390, 0.7067, 0.4677)  1 Mn 2.72, 2 U 2.84, 1 Na 2.86
Se (0.7964, 0.2398, 0.5566)  2 Mn 2.66, 1 U 2.74, 1 Na 2.79
Se (0.8168, 0.7602, 0.0566)  2 Mn 2.66, 1 U 2.74, 1 Na 2.79

Results
Size of the total moment = 0.86 μB/atom
E_form (uncorrected) = -898 meV per atom

***

DFT (PBE) results for an optimized crystal structure of PaInFePd.

a b c (Å): 4.7570 4.7570 4.7570
angles (deg): 60.00 60.00 60.00
Closest atoms and distances in Å follow each position.
Fractional coordinates of all 4 atoms:
Pa (0.0000, 0.0000, 0.0000)  4 Fe 2.91, 4 Pd 2.91
In (0.5000, 0.5000, 0.5000)  4 Fe 2.91, 4 Pd 2.91
Fe (0.7500, 0.7500, 0.7500)  4 In 2.91, 4 Pa 2.91
Pd (0.2500, 0.2500, 0.2500)  4 In 2.91, 4 Pa 2.91

Results
Size of the total moment = 0.33 μB/atom
ΔH_f (0 K) = -0.184 eV per atom